## BaNa3B (PBE)

Data for a geometry-optimized BaNa3B structure.

The total magnetization comes out at 0.00 μB per formula unit. Its polymorph energy (0 for the lowest one) is 0.000 eV per atom. The value obtained for the total energy is -1.878 eV per atom. Its theoretical density is 2.27 Mg/m³. The calculated formation energy comes out at 634 meV/atom. The crystal system is cubic.

The space group is Pm-3m (No. 221) and the conventional cell measures 5.415, 5.415 and 5.415 Å, with angles of 90.00, 90.00 and 90.00 degrees. The asymmetric unit holds Ba at (0.000, 0.000, 0.000), Na at (0.000, 0.500, 0.500) and B at (0.500, 0.500, 0.500).